[1]
The following is a DFT calculation (PBE) of a relaxed structure of Tl6In2Sn.

Computed properties:
As for the polymorph energy (0 for the lowest one): 0.0 meV/atom. The calculation puts the formation energy from the elements at 0.42 kcal/mol of atoms.

a b c (Å): 3.5575 3.5575 24.7299
angles (deg): 90.00 90.00 120.00
With the nearest neighbours (Å) after each atom.
Positions (direct):
Tl  0.6667  0.3333  0.8916  3 Sn 3.38, 9 Tl 3.53-3.56
Tl  0.3333  0.6667  0.4363  1 Tl 3.15, 3 In 3.31
Tl  0.3333  0.6667  0.7754  3 In 3.34, 9 Tl 3.53-3.56
Tl  0.3333  0.6667  0.2246  3 In 3.34, 9 Tl 3.53-3.56
Tl  0.3333  0.6667  0.5637  1 Tl 3.15, 3 In 3.31
Tl  0.6667  0.3333  0.1084  3 Sn 3.38, 9 Tl 3.53-3.56
In  0.6667  0.3333  0.3311  6 Tl 3.31-3.34, 6 In 3.56
In  0.6667  0.3333  0.6689  6 Tl 3.31-3.34, 6 In 3.56
Sn  0.3333  0.6667  0.0000  6 Tl 3.38, 6 Sn 3.56

[2]
The following is a DFT calculation (PBE) of a relaxed structure of Dy2Tm8Mg.

Computed properties:
As for the polymorph energy (0 for the lowest one): 71.7 meV/atom. The calculation puts the formation energy from the elements at 2.48 kcal/mol of atoms.

a b c (Å): 5.4277 7.3360 9.6692
angles (deg): 112.29 106.30 90.00
With the nearest neighbours (Å) after each atom.
Positions (direct):
Dy  0.1937  0.6937  0.3874  10 Tm 3.35-3.67
Dy  0.8063  0.3063  0.6126  10 Tm 3.35-3.67
Tm  0.6386  0.8747  0.2772  1 Mg 3.05, 2 Dy 3.35, 2 Tm 3.41
Tm  0.3614  0.5975  0.7228  1 Mg 3.05, 2 Dy 3.35, 2 Tm 3.41
Tm  0.1814  0.1814  0.3628  8 Tm 3.41-3.61, 4 Dy 3.45-3.67
Tm  0.0000  0.2543  0.0000  2 Mg 3.29, 7 Tm 3.60-3.61
Tm  0.8186  0.8186  0.6372  8 Tm 3.41-3.61, 4 Dy 3.45-3.67
Tm  0.6386  0.4025  0.2772  1 Mg 3.05, 2 Dy 3.35, 2 Tm 3.41
Tm  0.3614  0.1253  0.7228  1 Mg 3.05, 2 Dy 3.35, 2 Tm 3.41
Tm  0.0000  0.7457  0.0000  2 Mg 3.29, 7 Tm 3.60-3.61
Mg  0.5000  0.0000  0.0000  8 Tm 3.05-3.29

[3]
The following is a DFT calculation (PBE) of a relaxed structure of MnCdIr2.

Computed properties:
The calculation puts the formation energy from the elements at 3.13 kcal/mol of atoms.

a b c (Å): 3.7976 4.0365 4.0365
angles (deg): 90.00 90.00 90.00
With the nearest neighbours (Å) after each atom.
Positions (direct):
Cd  0.5000  0.0000  0.5000  8 Ir 2.77, 4 Mn 2.85
Ir  0.0000  0.0000  0.0000  4 Cd 2.77, 4 Mn 2.77, 4 Ir 2.85
Ir  0.0000  0.5000  0.5000  4 Cd 2.77, 4 Mn 2.77, 4 Ir 2.85
Mn  0.5000  0.5000  0.0000  8 Ir 2.77, 4 Cd 2.85

[4]
The following is a DFT calculation (PBE) of a relaxed structure of LaCe2H6.

Computed properties:
The calculation puts the total DFT energy (no corrections) at -4.67 eV per atom.

a b c (Å): 3.8932 5.5130 6.7456
angles (deg): 114.12 106.77 90.00
With the nearest neighbours (Å) after each atom.
Positions (direct):
La  0.0000  0.0000  0.0000  8 H 2.42-2.43
Ce  0.3318  0.3317  0.6635  8 H 2.36-2.37
Ce  0.6682  0.6683  0.3365  8 H 2.36-2.37
H  0.8308  0.0867  0.6615  3 Ce 2.37, 1 La 2.43
H  0.1692  0.4252  0.3385  3 Ce 2.37, 1 La 2.43
H  0.1692  0.9133  0.3385  3 Ce 2.37, 1 La 2.43
H  0.5000  0.2617  0.0000  2 Ce 2.36, 2 La 2.42, 1 H 2.63
H  0.8308  0.5748  0.6615  3 Ce 2.37, 1 La 2.43
H  0.5000  0.7383  0.0000  2 Ce 2.36, 2 La 2.42, 1 H 2.63

[5]
The following is a DFT calculation (PBE) of a relaxed structure of PaTlPd.

Computed properties:
As for the polymorph energy (0 for the lowest one): 218.8 meV/atom. The calculation puts the formation energy from the elements at 0.08 kcal/mol of atoms.

a b c (Å): 3.1722 5.0649 8.3259
angles (deg): 90.00 90.00 90.00
With the nearest neighbours (Å) after each atom.
Positions (direct):
Tl  0.5000  0.5000  0.2073  4 Pd 2.74-2.89
Tl  0.0000  0.0000  0.7927  4 Pd 2.74-2.89
Pa  0.5000  0.5000  0.5927  2 Pd 3.14, 6 Pa 3.17-3.36, 5 Tl 3.21-3.42
Pa  0.0000  0.0000  0.4073  2 Pd 3.14, 6 Pa 3.17-3.36, 5 Tl 3.21-3.42
Pd  0.0000  0.5000  0.9176  4 Tl 2.74-2.89
Pd  0.5000  0.0000  0.0824  4 Tl 2.74-2.89

[6]
The following is a DFT calculation (PBE) of a relaxed structure of BeIrF.

Computed properties:
As for the polymorph energy (0 for the lowest one): 488.0 meV/atom. Its uncorrected formation energy is -0.94 eV/atom.

a b c (Å): 5.1532 5.3058 4.2283
angles (deg): 85.25 110.00 50.04
With the nearest neighbours (Å) after each atom.
Positions (direct):
Be  0.6561  0.5475  0.1076  2 F 1.59-1.61
Be  0.1708  0.0367  0.6278  2 F 1.59-1.61
Ir  0.1242  0.6250  0.7471  2 Be 2.37-2.38, 2 Ir 2.40-2.49
Ir  0.7030  0.9589  0.9885  2 Be 2.37-2.38, 2 Ir 2.40-2.49
F  0.7502  0.4271  0.5200  2 Be 1.59-1.61
F  0.0768  0.1568  0.2155  2 Be 1.59-1.61

[7]
The following is a DFT calculation (PBE) of a relaxed structure of Ca2Nd4Th.

Computed properties:
The calculation puts the formation energy from the elements at 2.97 kcal/mol of atoms.

a b c (Å): 3.5653 5.9967 12.4287
angles (deg): 103.97 98.25 90.00
With the nearest neighbours (Å) after each atom.
Positions (direct):
Ca  0.2799  0.2798  0.5598  6 Ca 3.57-3.77, 4 Nd 3.71-3.86
Ca  0.7201  0.7202  0.4402  6 Ca 3.57-3.77, 4 Nd 3.71-3.86
Nd  0.0765  0.5767  0.1531  2 Th 3.51, 7 Nd 3.57-3.70, 2 Ca 3.86
Nd  0.9235  0.4233  0.8469  2 Th 3.51, 7 Nd 3.57-3.70, 2 Ca 3.86
Nd  0.3714  0.8712  0.7429  2 Th 3.55, 6 Nd 3.57-3.70, 2 Ca 3.71
Nd  0.6286  0.1288  0.2571  2 Th 3.55, 6 Nd 3.57-3.70, 2 Ca 3.71
Th  0.0000  0.0000  0.0000  8 Nd 3.51-3.55, 2 Th 3.57

[8]
The following is a DFT calculation (PBE) of a relaxed structure of LuScPd.

Computed properties:
As for the polymorph energy (0 for the lowest one): 143.5 meV/atom. The calculation puts the formation energy from the elements at -9.82 kcal/mol of atoms.

a b c (Å): 3.4856 4.6529 4.6529
angles (deg): 120.00 90.00 90.00
With the nearest neighbours (Å) after each atom.
Positions (direct):
Sc  0.0770  0.0000  0.0000  3 Pd 2.80, 3 Lu 3.13
Lu  0.6182  0.6667  0.3333  3 Pd 2.90, 3 Sc 3.13
Pd  0.3048  0.3333  0.6667  3 Sc 2.80, 3 Lu 2.90

no.,total magnetic moment (μB per formula unit)
1,0.00
2,0.00
3,3.58
4,1.77
5,0.00
6,0.00
7,0.00
8,0.00